! PaTl5Te4, relaxed, DFT PBE; values from VASP
! Space group: C2/m
! Crystal system: monoclinic
! Calculated total energy (hartree per atom): -0.1395
! Calculated density (g/cm³): 8.1
! Formation energy (no corrections) (eV per atom): -0.407
&SYSTEM
  ibrav = 0, nat = 10, ntyp = 3
/
ATOMIC_SPECIES
Pa 231.04 Pa.upf
Tl 204.38 Tl.upf
Te 127.60 Te.upf
CELL_PARAMETERS angstrom
9.662 -2.244 0.000
9.662 2.244 0.000
-4.304 0.000 8.313
ATOMIC_POSITIONS crystal
Pa 0.000 0.000 0.000
Tl 0.000 0.000 0.500
Tl 0.273 0.273 0.883
Tl 0.363 0.363 0.492
Tl 0.637 0.637 0.508
Tl 0.727 0.727 0.117
Te 0.165 0.165 0.278
Te 0.452 0.452 0.170
Te 0.548 0.548 0.830
Te 0.835 0.835 0.722